(1)
Here is a relaxed structure of BeNiAu from Alexandria. Energies are from GGA-PBE.

Lattice parameters (Å, degrees): 3.9024 3.9024 2.8231 90.00 90.00 120.00
Space group P3m1 (No. 156)
Unique sites:
Be: 0.0000 0.0000 0.0000 x1
Ni: 0.3333 0.6667 0.0193 x1
Au: 0.6667 0.3333 0.5165 x1

(2)
Here is a relaxed structure of BeNiAu from Alexandria. Energies are from GGA-PBE.

Lattice parameters (Å, degrees): 6.737 2.691 8.774 90.00 90.24 90.00
Space group C2/m (No. 12)
Unique sites:
Be: 0.147 0.000 0.199 x4
Ni: 0.143 0.000 0.924 x4
Au: 0.138 0.000 0.628 x4

(3)
Here is a relaxed structure of BeNiAu from Alexandria. Energies are from GGA-PBE.

Lattice parameters (Å, degrees): 2.776 2.776 9.437 90.00 90.00 90.00
Space group I4mm (No. 107)
Unique sites:
Be: 0.000 0.000 0.000 x2
Ni: 0.000 0.000 0.380 x2
Au: 0.000 0.000 0.673 x2

Energies in meV per atom, measured from the most stable structure: (1) 123; (2) 185; (3) 0.

(1)
Here is a relaxed structure of Be2Ni2Au from Alexandria. Energies are from GGA-PBE.

Lattice parameters (Å, degrees): 6.606 6.606 2.575 90.00 90.00 90.00
Space group P4/mbm (No. 127)
Unique sites:
Be: 0.164 0.336 0.000 x4
Ni: 0.128 0.628 0.500 x4
Au: 0.000 0.000 0.500 x2

(2)
Here is a relaxed structure of Be2Ni2Au from Alexandria. Energies are from GGA-PBE.

Lattice parameters (Å, degrees): 6.365 6.365 2.692 90.00 90.00 90.00
Space group P4/mbm (No. 127)
Unique sites:
Be: 0.131 0.369 0.000 x4
Ni: 0.154 0.654 0.500 x4
Au: 0.000 0.000 0.000 x2

(3)
Here is a relaxed structure of Be2Ni2Au from Alexandria. Energies are from GGA-PBE.

Lattice parameters (Å, degrees): 3.878 3.878 7.681 90.00 90.00 90.00
Space group I4/mmm (No. 139)
Unique sites:
Be: 0.000 0.500 0.250 x4
Ni: 0.000 0.000 0.145 x4
Au: 0.000 0.000 0.500 x2

(4)
Here is a relaxed structure of Be2Ni2Au from Alexandria. Energies are from GGA-PBE.

Lattice parameters (Å, degrees): 3.417 3.417 10.150 90.00 90.00 90.00
Space group I4/mmm (No. 139)
Unique sites:
Be: 0.000 0.500 0.250 x4
Ni: 0.000 0.000 0.118 x4
Au: 0.000 0.000 0.500 x2

Energies in meV per atom, measured from the most stable structure: (1) 98; (2) 0; (3) 291; (4) 349.

(1)
Here is a relaxed structure of Be2NiAu2 from Alexandria. Energies are from GGA-PBE.

Lattice parameters (Å, degrees): 6.495 6.495 2.986 90.00 90.00 90.00
Space group P4/mbm (No. 127)
Unique sites:
Be: 0.132 0.368 0.000 x4
Ni: 0.000 0.000 0.000 x2
Au: 0.166 0.666 0.500 x4

(2)
Here is a relaxed structure of Be2NiAu2 from Alexandria. Energies are from GGA-PBE.

Lattice parameters (Å, degrees): 6.917 6.917 2.765 90.00 90.00 90.00
Space group P4/mbm (No. 127)
Unique sites:
Be: 0.155 0.345 0.000 x4
Ni: 0.000 0.000 0.500 x2
Au: 0.147 0.647 0.500 x4

Energies in meV per atom, measured from the most stable structure: (1) 0; (2) 109.

(1)
Here is a relaxed structure of NpBeAu3 from Alexandria. Energies are from GGA-PBE.

Lattice parameters (Å, degrees): 4.619 4.619 4.619 90.00 90.00 90.00
Space group Pm-3m (No. 221)
Unique sites:
Np: 0.000 0.000 0.000 x1
Be: 0.500 0.500 0.500 x1
Au: 0.000 0.500 0.500 x3

(2)
Here is a relaxed structure of NpBeAu3 from Alexandria. Energies are from GGA-PBE.

Lattice parameters (Å, degrees): 6.010 6.010 5.337 90.00 90.00 90.00
Space group P4/nmm (No. 129, origin choice 2)
Unique sites:
Np: 0.250 0.750 0.000 x2
Be: 0.250 0.250 0.285 x2
Au: 0.000 0.000 0.500 x4
Au: 0.250 0.250 0.861 x2

Energies in meV per atom, measured from the most stable structure: (1) 70; (2) 0.

(1)
Here is a relaxed structure of Be3AuO from Alexandria. Energies are from GGA-PBE.

Lattice parameters (Å, degrees): 4.319 4.319 4.319 90.00 90.00 90.00
Space group Pm-3m (No. 221)
Unique sites:
Be: 0.000 0.000 0.500 x3
Au: 0.000 0.000 0.000 x1
O: 0.500 0.500 0.500 x1

(2)
Here is a relaxed structure of Be3AuO from Alexandria. Energies are from GGA-PBE.

Lattice parameters (Å, degrees): 3.648 3.648 3.648 90.00 90.00 90.00
Space group Pm-3m (No. 221)
Unique sites:
Be: 0.000 0.000 0.500 x3
Au: 0.500 0.500 0.500 x1
O: 0.000 0.000 0.000 x1

Energies in meV per atom, measured from the most stable structure: (1) 1489; (2) 0.

(1)
Here is a relaxed structure of BePAuO2 from Alexandria. Energies are from GGA-PBE.

Lattice parameters (Å, degrees): 3.385 3.385 6.097 90.00 90.00 90.00
Space group P4/mmm (No. 123)
Unique sites:
Be: 0.000 0.000 0.000 x1
P: 0.000 0.000 0.500 x1
Au: 0.500 0.500 0.500 x1
O: 0.000 0.500 0.000 x2

(2)
Here is a relaxed structure of BePAuO2 from Alexandria. Energies are from GGA-PBE.

Lattice parameters (Å, degrees): 3.899 3.899 5.178 90.00 90.00 90.00
Space group P4/mmm (No. 123)
Unique sites:
Be: 0.000 0.000 0.000 x1
P: 0.500 0.500 0.000 x1
Au: 0.500 0.500 0.500 x1
O: 0.000 0.500 0.500 x2

Energies in meV per atom, measured from the most stable structure: (1) 0; (2) 1006.

(1)
Here is a relaxed structure of BeP2AuO from Alexandria. Energies are from GGA-PBE.

Lattice parameters (Å, degrees): 4.900 4.900 3.875 90.00 90.00 90.00
Space group P4/mmm (No. 123)
Unique sites:
Be: 0.000 0.000 0.000 x1
P: 0.000 0.500 0.500 x2
Au: 0.500 0.500 0.500 x1
O: 0.500 0.500 0.000 x1

(2)
Here is a relaxed structure of BeP2AuO from Alexandria. Energies are from GGA-PBE.

Lattice parameters (Å, degrees): 4.966 4.966 2.895 90.00 90.00 90.00
Space group P4/mmm (No. 123)
Unique sites:
Be: 0.000 0.000 0.000 x1
P: 0.000 0.500 0.000 x2
Au: 0.500 0.500 0.500 x1
O: 0.000 0.000 0.500 x1

Energies in meV per atom, measured from the most stable structure: (1) 1251; (2) 0.

(1)
Here is a relaxed structure of Be3OsAu from Alexandria. Energies are from GGA-PBE.

Lattice parameters (Å, degrees): 4.168 4.168 4.168 90.00 90.00 90.00
Space group Pm-3m (No. 221)
Unique sites:
Be: 0.000 0.000 0.500 x3
Os: 0.500 0.500 0.500 x1
Au: 0.000 0.000 0.000 x1

(2)
Here is a relaxed structure of Be3OsAu from Alexandria. Energies are from GGA-PBE.

Lattice parameters (Å, degrees): 4.190 4.190 4.190 90.00 90.00 90.00
Space group Pm-3m (No. 221)
Unique sites:
Be: 0.000 0.000 0.500 x3
Os: 0.000 0.000 0.000 x1
Au: 0.500 0.500 0.500 x1

Energies in meV per atom, measured from the most stable structure: (1) 383; (2) 0.

(1)
Here is a relaxed structure of BeOsAu3 from Alexandria. Energies are from GGA-PBE.

Lattice parameters (Å, degrees): 4.333 4.333 4.333 90.00 90.00 90.00
Space group Pm-3m (No. 221)
Unique sites:
Be: 0.000 0.000 0.000 x1
Os: 0.500 0.500 0.500 x1
Au: 0.000 0.000 0.500 x3

(2)
Here is a relaxed structure of BeOsAu3 from Alexandria. Energies are from GGA-PBE.

Lattice parameters (Å, degrees): 5.047 5.047 5.047 90.00 90.00 90.00
Space group Pm-3m (No. 221)
Unique sites:
Be: 0.000 0.000 0.000 x1
Os: 0.500 0.500 0.500 x1
Au: 0.000 0.500 0.500 x3

Energies in meV per atom, measured from the most stable structure: (1) 0; (2) 825.

(1)
Here is a relaxed structure of BePAu2 from Alexandria. Energies are from GGA-PBE.

Lattice parameters (Å, degrees): 3.484 3.649 5.256 90.00 90.06 90.00
Space group Pm (No. 6)
Unique sites:
Be: 0.000 0.000 0.000 x1
P: 0.998 0.500 0.792 x1
Au: 0.498 0.500 0.147 x1
Au: 0.998 0.000 0.443 x1

(2)
Here is a relaxed structure of BePAu2 from Alexandria. Energies are from GGA-PBE.

Lattice parameters (Å, degrees): 2.788 2.788 7.942 90.00 90.00 90.00
Space group P4/mmm (No. 123)
Unique sites:
Be: 0.000 0.000 0.000 x1
P: 0.000 0.000 0.500 x1
Au: 0.500 0.500 0.200 x2

(3)
Here is a relaxed structure of BePAu2 from Alexandria. Energies are from GGA-PBE.

Lattice parameters (Å, degrees): 3.832 3.832 8.410 90.00 90.00 90.00
Space group I-4m2 (No. 119)
Unique sites:
Be: 0.000 0.000 0.000 x2
P: 0.000 0.500 0.750 x2
Au: 0.000 0.000 0.500 x2
Au: 0.000 0.500 0.250 x2

Energies in meV per atom, measured from the most stable structure: (1) 0; (2) 71; (3) 206.

(1)
Here is a relaxed structure of BePAu2 from Alexandria. Energies are from GGA-PBE.

Lattice parameters (Å, degrees): 3.381 4.463 8.229 90.00 90.00 90.00
Space group Cmm2 (No. 35)
Unique sites:
Be: 0.000 0.000 0.000 x2
P: 0.000 0.500 0.821 x2
Au: 0.000 0.000 0.509 x2
Au: 0.000 0.500 0.210 x2

(2)
Here is a relaxed structure of BePAu2 from Alexandria. Energies are from GGA-PBE.

Lattice parameters (Å, degrees): 7.722 2.919 5.772 90.00 103.94 90.00
Space group C2/m (No. 12)
Unique sites:
Be: 0.000 0.000 0.000 x2
P: 0.000 0.500 0.500 x2
Au: 0.225 0.500 0.217 x4

Energies in meV per atom, measured from the most stable structure: (1) 8; (2) 0.

(1)
Here is a relaxed structure of BePAu2 from Alexandria. Energies are from GGA-PBE.

Lattice parameters (Å, degrees): 4.154 4.154 15.617 90.00 90.00 90.00
Space group I-42d (No. 122)
Unique sites:
Be: 0.000 0.000 0.000 x4
P: 0.000 0.000 0.500 x4
Au: 0.244 0.250 0.125 x8

(2)
Here is a relaxed structure of BePAu2 from Alexandria. Energies are from GGA-PBE.

Lattice parameters (Å, degrees): 3.0047 3.0047 23.6228 90.00 90.00 120.00
Space group R-3m (No. 166, hexagonal axes)
Unique sites:
Be: 0.0000 0.0000 0.0000 x3
P: 0.0000 0.0000 0.5000 x3
Au: 0.0000 0.0000 0.2593 x6

Energies in meV per atom, measured from the most stable structure: (1) 0; (2) 52.